Cs2MnAlO4, optimized geometry, DFT GGA+U; space group = Fddd, No. 70; final energy = -6.003 eV/atom; V = 362.0 Å³/cell; spin magnetization = 4.0 μB/f.u.
1.0
0.0000 6.4385 10.7276
2.6206 0.0000 10.7276
2.6206 6.4385 0.0000
Cs Mn Al O
4 2 2 8
Cartesian
1.9655 4.8289 1.1179
3.2758 8.0482 6.4817
1.9655 4.8289 14.9735
3.2758 8.0482 20.3373
1.9655 4.8289 8.0457
3.2758 8.0482 13.4095
0.6552 1.6096 2.6819
4.5861 11.2674 18.7733
1.8679 2.6926 3.4364
3.3734 5.9119 8.8002
2.0631 6.9652 3.4364
2.0631 2.6926 12.6550
3.1782 10.1844 8.8002
3.1782 5.9119 18.0188
1.8679 6.9652 12.6550
3.3734 10.1844 18.0188